GaSb2TeH | GGA-PBE | optimized geometry

Properties
E_tot = -3.17 eV/atom
Crystal system = tetragonal
Energy relative to the lowest polymorph listed for this composition = 0.0 meV per atom

Lattice parameters (Å, degrees): 4.514 4.514 5.505 90.00 90.00 90.00
Fractional coordinates of all 5 atoms:
Sb1 0.500 0.000 0.000
Sb2 0.000 0.500 0.000
Ga1 0.500 0.500 0.500
H1 0.000 0.000 0.000
Te1 0.000 0.000 0.500

***

YUAgS4 | GGA-PBE | optimized geometry

Properties
E_tot = -6.65 eV/atom
E_form (uncorrected) = -1.35 eV per atom
Crystal system = orthorhombic

Lattice parameters (Å, degrees): 8.045 7.970 7.927 119.82 90.00 120.31
Fractional coordinates of all 14 atoms:
S1 0.745 0.489 0.725
S2 0.253 0.977 0.739
S3 0.747 0.023 0.261
S4 0.745 0.489 0.264
S5 0.276 0.023 0.261
S6 0.255 0.511 0.275
S7 0.255 0.511 0.736
S8 0.724 0.977 0.739
U1 0.000 0.500 0.500
U2 0.500 0.500 0.500
Y1 0.500 0.000 0.000
Y2 0.500 0.000 0.500
Ag1 0.879 0.759 0.129
Ag2 0.121 0.241 0.871

***

Dy12Cd3H5 | GGA-PBE | optimized geometry

Properties
E_tot = -3.93 eV/atom
Crystal system = cubic

Lattice parameters (Å, degrees): 13.456 13.456 13.456 109.47 109.47 109.47
Fractional coordinates of all 80 atoms:
Dy1 0.011 0.404 0.807
Dy2 0.597 0.704 0.693
Dy3 0.097 0.904 0.393
Dy4 0.393 0.989 0.796
Dy5 0.489 0.796 0.893
Dy6 0.393 0.404 0.097
Dy7 0.893 0.296 0.489
Dy8 0.489 0.693 0.096
Dy9 0.011 0.607 0.704
Dy10 0.404 0.393 0.597
Dy11 0.807 0.904 0.011
Dy12 0.097 0.193 0.204
Dy13 0.904 0.097 0.893
Dy14 0.296 0.403 0.807
Dy15 0.204 0.511 0.607
Dy16 0.607 0.011 0.204
Dy17 0.107 0.704 0.511
Dy18 0.796 0.307 0.903
Dy19 0.204 0.693 0.097
Dy20 0.193 0.097 0.704
Dy21 0.511 0.307 0.904
Dy22 0.704 0.107 0.011
Dy23 0.596 0.989 0.693
Dy24 0.404 0.011 0.307
Dy25 0.693 0.204 0.597
Dy26 0.307 0.511 0.404
Dy27 0.607 0.596 0.903
Dy28 0.904 0.807 0.511
Dy29 0.596 0.607 0.403
Dy30 0.903 0.807 0.796
Dy31 0.704 0.597 0.193
Dy32 0.403 0.296 0.307
Dy33 0.096 0.193 0.489
Dy34 0.893 0.597 0.904
Dy35 0.296 0.893 0.989
Dy36 0.403 0.107 0.596
Dy37 0.307 0.796 0.403
Dy38 0.796 0.489 0.393
Dy39 0.193 0.096 0.989
Dy40 0.107 0.403 0.096
Dy41 0.597 0.893 0.404
Dy42 0.989 0.393 0.296
Dy43 0.903 0.096 0.607
Dy44 0.693 0.489 0.596
Dy45 0.096 0.903 0.107
Dy46 0.989 0.596 0.193
Dy47 0.511 0.204 0.107
Dy48 0.807 0.903 0.296
H1 0.125 0.750 0.375
H2 0.750 0.125 0.875
H3 0.000 0.000 0.000
H4 0.000 0.500 0.000
H5 0.750 0.625 0.375
H6 0.500 0.500 0.500
H7 0.125 0.375 0.250
H8 0.500 0.500 0.000
H9 0.375 0.250 0.125
H10 0.500 0.000 0.000
H11 0.250 0.375 0.625
H12 0.625 0.875 0.250
H13 0.375 0.125 0.750
H14 0.500 0.000 0.500
H15 0.625 0.750 0.875
H16 0.000 0.500 0.500
H17 0.875 0.625 0.750
H18 0.250 0.875 0.125
H19 0.875 0.250 0.625
H20 0.000 0.000 0.500
Cd1 0.625 0.375 0.750
Cd2 0.250 0.125 0.375
Cd3 0.750 0.875 0.625
Cd4 0.125 0.250 0.875
Cd5 0.875 0.125 0.250
Cd6 0.875 0.750 0.125
Cd7 0.625 0.250 0.375
Cd8 0.375 0.625 0.250
Cd9 0.250 0.625 0.875
Cd10 0.125 0.875 0.750
Cd11 0.375 0.750 0.625
Cd12 0.750 0.375 0.125